Entry 1:
DFT (GGA-PBE) results for Fe3HgAs after structural relaxation.

Summary:
crystal system: cubic
electronic total energy: -27.1 eV/f.u.
E_form: 0.654 eV/atom
offset from the most stable computed form: 0 meV/atom

Geometry as CIF:
```
data_Fe3HgAs
_chemical_formula_sum 'Fe3 Hg1 As1'
_cell_length_a 4.4254
_cell_length_b 4.4254
_cell_length_c 4.4254
_cell_angle_alpha 90.00
_cell_angle_beta 90.00
_cell_angle_gamma 90.00
_symmetry_space_group_name_H-M 'P m -3 m'
_symmetry_Int_Tables_number 221
_symmetry_space_group_name_Hall '-P 4 2 3'
loop_
_atom_site_label
_atom_site_fract_x
_atom_site_fract_y
_atom_site_fract_z
Fe1 0.0000 0.0000 0.5000
Hg1 0.5000 0.5000 0.5000
As1 0.0000 0.0000 0.0000
```

---

Entry 2:
DFT (GGA-PBE) results for Fe2HgAsIr after structural relaxation.

Summary:
crystal system: tetragonal
electronic total energy: -19.3 eV/f.u.
E_form: 2.288 eV/atom

Geometry as CIF:
```
data_Fe2HgAsIr
_chemical_formula_sum 'Fe2 Hg1 As1 Ir1'
_cell_length_a 4.6898
_cell_length_b 4.6898
_cell_length_c 4.9865
_cell_angle_alpha 90.00
_cell_angle_beta 90.00
_cell_angle_gamma 90.00
_symmetry_space_group_name_H-M 'P 4/m m m'
_symmetry_Int_Tables_number 123
_symmetry_space_group_name_Hall '-P 4 2'
loop_
_atom_site_label
_atom_site_fract_x
_atom_site_fract_y
_atom_site_fract_z
Fe1 0.0000 0.5000 0.0000
Hg1 0.0000 0.0000 0.0000
As1 0.5000 0.5000 0.5000
Ir1 0.0000 0.0000 0.5000
```

---

Entry 3:
DFT (GGA-PBE) results for NbFeHg2As after structural relaxation.

Summary:
crystal system: tetragonal
electronic total energy: -17.9 eV/f.u.
E_form: 1.171 eV/atom

Geometry as CIF:
```
data_NbFeHg2As
_chemical_formula_sum 'Nb1 Fe1 Hg2 As1'
_cell_length_a 5.1014
_cell_length_b 5.1014
_cell_length_c 4.9217
_cell_angle_alpha 90.00
_cell_angle_beta 90.00
_cell_angle_gamma 90.00
_symmetry_space_group_name_H-M 'P 4/m m m'
_symmetry_Int_Tables_number 123
_symmetry_space_group_name_Hall '-P 4 2'
loop_
_atom_site_label
_atom_site_fract_x
_atom_site_fract_y
_atom_site_fract_z
Nb1 0.0000 0.0000 0.0000
Fe1 0.5000 0.5000 0.0000
Hg1 0.0000 0.5000 0.5000
As1 0.0000 0.0000 0.5000
```

---

Entry 4:
DFT (GGA-PBE) results for FeHgAs2Se after structural relaxation.

Summary:
crystal system: tetragonal
electronic total energy: -20.0 eV/f.u.
ΔE_f (raw): 0.3175 eV per atom
offset from the most stable computed form: 0 meV/atom

Geometry as CIF:
```
data_FeHgAs2Se
_chemical_formula_sum 'Fe1 Hg1 As2 Se1'
_cell_length_a 4.4234
_cell_length_b 4.4234
_cell_length_c 5.4671
_cell_angle_alpha 90.00
_cell_angle_beta 90.00
_cell_angle_gamma 90.00
_symmetry_space_group_name_H-M 'P 4/m m m'
_symmetry_Int_Tables_number 123
_symmetry_space_group_name_Hall '-P 4 2'
loop_
_atom_site_label
_atom_site_fract_x
_atom_site_fract_y
_atom_site_fract_z
Fe1 0.0000 0.0000 0.0000
Hg1 0.5000 0.5000 0.5000
As1 0.0000 0.5000 0.0000
Se1 0.0000 0.0000 0.5000
```

---

Entry 5:
DFT (GGA-PBE) results for Fe2HgAsW after structural relaxation.

Summary:
crystal system: tetragonal
electronic total energy: -30.1 eV/f.u.
E_form: 0.943 eV/atom

Geometry as CIF:
```
data_Fe2HgAsW
_chemical_formula_sum 'Fe2 Hg1 As1 W1'
_cell_length_a 4.3863
_cell_length_b 4.3863
_cell_length_c 4.7267
_cell_angle_alpha 90.00
_cell_angle_beta 90.00
_cell_angle_gamma 90.00
_symmetry_space_group_name_H-M 'P 4/m m m'
_symmetry_Int_Tables_number 123
_symmetry_space_group_name_Hall '-P 4 2'
loop_
_atom_site_label
_atom_site_fract_x
_atom_site_fract_y
_atom_site_fract_z
Fe1 0.0000 0.5000 0.0000
Hg1 0.0000 0.0000 0.5000
As1 0.5000 0.5000 0.0000
W1 0.5000 0.5000 0.5000
```

---

Entry 6:
DFT (GGA-PBE) results for HoFe4As12 after structural relaxation.

Summary:
crystal system: cubic
electronic total energy: -100.2 eV/f.u.
E_form: -0.353 eV/atom

Geometry as CIF:
```
data_HoFe4As12
_chemical_formula_sum 'Ho2 Fe8 As24'
_cell_length_a 8.3328
_cell_length_b 8.3328
_cell_length_c 8.3328
_cell_angle_alpha 90.00
_cell_angle_beta 90.00
_cell_angle_gamma 90.00
_symmetry_space_group_name_H-M 'I m -3'
_symmetry_Int_Tables_number 204
_symmetry_space_group_name_Hall '-I 2 2 3'
loop_
_atom_site_label
_atom_site_fract_x
_atom_site_fract_y
_atom_site_fract_z
Ho1 0.0000 0.0000 0.0000
Fe1 0.2500 0.2500 0.2500
As1 0.0000 0.1550 0.3409
```